(1)
Compound: CsBa3Sr
Source: Alexandria
Functional: PBE
Structure: relaxed

Unit cell a=6.7724 b=6.7724 c=6.7724 alpha=90.00 beta=90.00 gamma=90.00
Last column: nearest neighbours and their distance in Å.
Element x y z (fractional)
Ba 0.0000 0.5000 0.0000  2 Cs 3.39
Ba 0.0000 0.0000 0.5000  2 Cs 3.39
Ba 0.5000 0.0000 0.0000  2 Cs 3.39
Sr 0.5000 0.5000 0.5000  12 Ba 4.79
Cs 0.0000 0.0000 0.0000  6 Ba 3.39

Properties
**Space-group type**: Pm-3m, No. 221
**DOS at the Fermi energy**: 10.888 states/eV per cell
**ΔH_f (0 K)**: 0.533 eV/atom

=====

(2)
Compound: CdHgF4
Source: Alexandria
Functional: PBE
Structure: relaxed

Unit cell a=5.5602 b=5.5604 c=6.8263 alpha=114.07 beta=113.95 gamma=89.98
Last column: nearest neighbours and their distance in Å.
Element x y z (fractional)
F 0.6212 0.1213 0.2424  2 Cd 2.38-2.39, 2 Hg 2.44
F 0.3788 0.8787 0.7576  2 Cd 2.38-2.39, 2 Hg 2.44
F 0.8788 0.8788 0.7576  2 Cd 2.39, 2 Hg 2.43-2.44
F 0.6216 0.6210 0.2424  2 Cd 2.39, 2 Hg 2.44
F 0.8784 0.3785 0.7576  2 Cd 2.38-2.39, 2 Hg 2.44
F 0.3784 0.3790 0.7576  2 Cd 2.39, 2 Hg 2.44
F 0.1216 0.6215 0.2424  2 Cd 2.38-2.39, 2 Hg 2.44
F 0.1212 0.1212 0.2424  2 Cd 2.39, 2 Hg 2.43-2.44
Hg 0.5000 0.0000 0.5000  8 F 2.44
Hg 0.0000 0.5000 0.5000  8 F 2.43-2.44
Cd 0.7500 0.7500 0.0000  8 F 2.38-2.39
Cd 0.2500 0.2500 0.0000  8 F 2.38-2.39

Properties
**Space-group type**: C2/m, No. 12
**DOS at the Fermi energy**: 0.000 states/eV per cell
**Energy relative to the lowest polymorph listed for this composition**: 0 meV per atom
**Energy relative to the elements, uncorrected**: -1810.6 meV/atom

=====

(3)
Compound: Cs3Tm2MgTe6
Source: Alexandria
Functional: PBE
Structure: relaxed

Unit cell a=7.7233 b=7.7233 c=9.3465 alpha=97.93 beta=97.93 gamma=120.02
Last column: nearest neighbours and their distance in Å.
Element x y z (fractional)
Cs 0.1675 0.8325 0.5000  6 Te 3.82-3.83
Cs 0.5000 0.5000 0.5000  6 Te 3.82-3.83
Cs 0.8325 0.1675 0.5000  6 Te 3.82-3.83
Te 0.3930 0.0618 0.1855  1 Mg 3.05, 2 Tm 3.07-3.08
Te 0.9382 0.6070 0.8145  1 Mg 3.05, 2 Tm 3.07-3.08
Te 0.7308 0.7308 0.1862  1 Mg 3.06, 2 Tm 3.07
Te 0.0618 0.3930 0.1855  1 Mg 3.05, 2 Tm 3.07-3.08
Te 0.2692 0.2692 0.8138  1 Mg 3.06, 2 Tm 3.07
Te 0.6070 0.9382 0.8145  1 Mg 3.05, 2 Tm 3.07-3.08
Tm 0.3336 0.6664 0.0000  6 Te 3.07-3.08
Tm 0.6664 0.3336 0.0000  6 Te 3.07-3.08
Mg 0.0000 0.0000 0.0000  6 Te 3.05-3.06

Properties
**Space-group type**: C2/m, No. 12
**DOS at the Fermi energy**: 7.990 states/eV per cell
**Energy relative to the elements, uncorrected**: -1130.1 meV/atom

=====

(4)
Compound: NiPt5Rh6
Source: Alexandria
Functional: PBE
Structure: relaxed

Unit cell a=3.8821 b=7.2644 c=7.2644 alpha=106.60 beta=105.49 gamma=105.49
Last column: nearest neighbours and their distance in Å.
Element x y z (fractional)
Rh 0.7537 0.9190 0.5885  1 Ni 2.71, 7 Pt 2.72-2.81, 4 Rh 2.73-2.77
Rh 0.2463 0.0810 0.4115  1 Ni 2.71, 7 Pt 2.72-2.81, 4 Rh 2.73-2.77
Rh 0.2463 0.4115 0.0810  1 Ni 2.71, 7 Pt 2.72-2.81, 4 Rh 2.73-2.77
Rh 0.7537 0.5885 0.9190  1 Ni 2.71, 7 Pt 2.72-2.81, 4 Rh 2.73-2.77
Rh 0.2564 0.7562 0.7562  6 Pt 2.68-2.78, 2 Ni 2.71, 4 Rh 2.73
Rh 0.7436 0.2438 0.2438  6 Pt 2.68-2.78, 2 Ni 2.71, 4 Rh 2.73
Pt 0.0000 0.6653 0.3347  4 Pt 2.73-2.78, 8 Rh 2.75-2.77
Pt 0.0000 0.3347 0.6653  4 Pt 2.73-2.78, 8 Rh 2.75-2.77
Pt 0.5000 0.1633 0.8367  8 Rh 2.68-2.81, 2 Ni 2.72, 2 Pt 2.78
Pt 0.5000 0.8367 0.1633  8 Rh 2.68-2.81, 2 Ni 2.72, 2 Pt 2.78
Pt 0.5000 0.5000 0.5000  4 Pt 2.73, 8 Rh 2.76-2.78
Ni 0.0000 0.0000 0.0000  8 Rh 2.71, 4 Pt 2.72

Properties
**Space-group type**: Immm, No. 71
**DOS at the Fermi energy**: 21.784 states/eV per cell
**ΔH_f (0 K)**: -0.012 eV/atom

=====

(5)
Compound: Dy3Si2Ir5
Source: Alexandria
Functional: PBE
Structure: relaxed

Unit cell a=3.5995 b=9.9101 c=9.9101 alpha=90.00 beta=90.00 gamma=90.00
Last column: nearest neighbours and their distance in Å.
Element x y z (fractional)
Ir 0.5000 0.2215 0.0694  2 Si 2.43
Ir 0.5000 0.0694 0.7785  2 Si 2.43
Ir 0.5000 0.5694 0.7215  2 Si 2.43
Ir 0.5000 0.4306 0.2785  2 Si 2.43
Ir 0.5000 0.0000 0.5000  4 Si 2.49
Ir 0.5000 0.7215 0.4306  2 Si 2.43
Ir 0.5000 0.9306 0.2215  2 Si 2.43
Ir 0.5000 0.7785 0.9306  2 Si 2.43
Ir 0.5000 0.2785 0.5694  2 Si 2.43
Ir 0.5000 0.5000 0.0000  4 Si 2.49
Si 0.0000 0.1231 0.6231  6 Ir 2.43-2.49
Si 0.0000 0.8769 0.3769  6 Ir 2.43-2.49
Si 0.0000 0.6231 0.8769  6 Ir 2.43-2.49
Si 0.0000 0.3769 0.1231  6 Ir 2.43-2.49
Dy 0.0000 0.0000 0.0000  8 Ir 2.92
Dy 0.0000 0.8255 0.6745  3 Si 2.84-2.99, 6 Ir 3.04-3.15
Dy 0.0000 0.3255 0.8255  3 Si 2.84-2.99, 6 Ir 3.04-3.15
Dy 0.0000 0.5000 0.5000  8 Ir 2.92
Dy 0.0000 0.6745 0.1745  3 Si 2.84-2.99, 6 Ir 3.04-3.15
Dy 0.0000 0.1745 0.3255  3 Si 2.84-2.99, 6 Ir 3.04-3.15

Properties
**Space-group type**: P4/mbm, No. 127
**DOS at the Fermi energy**: 8.722 states/eV per cell
**Energy relative to the elements, uncorrected**: -909.4 meV/atom

=====

(6)
Compound: NdGdSb
Source: Alexandria
Functional: PBE
Structure: relaxed

Unit cell a=4.1018 b=4.1018 c=5.9809 alpha=110.05 beta=110.05 gamma=90.00
Last column: nearest neighbours and their distance in Å.
Element x y z (fractional)
Sb 0.6204 0.6204 0.2408  4 Gd 3.29, 5 Nd 3.34-3.57
Gd 0.2681 0.2681 0.5362  5 Nd 3.21-3.54, 4 Sb 3.29
Nd 0.9615 0.9615 0.9230  5 Gd 3.21-3.54, 5 Sb 3.34-3.57

Properties
**Space-group type**: I4mm, No. 107
**DOS at the Fermi energy**: 2.355 states/eV per cell
**Energy relative to the lowest polymorph listed for this composition**: 0 meV per atom
**Energy relative to the elements, uncorrected**: -691.1 meV/atom

=====

(7)
Compound: TmBF6
Source: Alexandria
Functional: PBE
Structure: relaxed

Unit cell a=5.0606 b=5.0599 c=5.2512 alpha=61.19 beta=61.17 gamma=59.98
Last column: nearest neighbours and their distance in Å.
Element x y z (fractional)
F 0.3099 0.7899 0.7843  1 B 1.63
F 0.2101 0.8839 0.2158  1 B 1.63
F 0.6901 0.2101 0.2157  1 B 1.63
F 0.8840 0.6902 0.2154  1 B 1.63
F 0.1160 0.3098 0.7846  1 B 1.63
F 0.7899 0.1161 0.7842  1 B 1.63
B 0.0000 0.0000 0.0000  6 F 1.63
Tm 0.5000 0.5000 0.5000  6 F 2.15

Properties
**Space-group type**: R-3, No. 148
**DOS at the Fermi energy**: 0.000 states/eV per cell
**Energy relative to the elements, uncorrected**: -3119.2 meV/atom

=====

(8)
Compound: LaLuTl
Source: Alexandria
Functional: PBE
Structure: relaxed

Unit cell a=3.8728 b=5.2921 c=5.2921 alpha=120.00 beta=90.00 gamma=90.00
Last column: nearest neighbours and their distance in Å.
Element x y z (fractional)
La 0.6691 0.3333 0.6667  6 Tl 3.59-3.64, 6 Lu 3.61-3.63, 2 La 3.87
Tl 0.1568 0.0000 0.0000  3 Lu 3.06
Lu 0.1741 0.6667 0.3333  3 Tl 3.06

Properties
**Space-group type**: P3m1, No. 156
**DOS at the Fermi energy**: 2.235 states/eV per cell
**Energy relative to the lowest polymorph listed for this composition**: 20 meV per atom
**ΔH_f (0 K)**: -0.190 eV/atom

=====

(9)
Compound: KNa2Hg
Source: Alexandria
Functional: PBE
Structure: relaxed

Unit cell a=5.4991 b=5.4991 c=6.6978 alpha=65.76 beta=65.76 gamma=60.00
Last column: nearest neighbours and their distance in Å.
Element x y z (fractional)
K 0.4938 0.4938 0.5187  4 Hg 3.66-3.88, 7 Na 3.74-4.00
Na 0.2821 0.2821 0.1536  3 Na 3.44, 3 Hg 3.52, 4 K 3.74-3.84
Na 0.0233 0.0233 0.9301  3 Hg 3.18, 3 Na 3.44
Hg 0.7008 0.7008 0.8975  6 Na 3.18-3.52

Properties
**Space-group type**: R3m, No. 160
**DOS at the Fermi energy**: 1.974 states/eV per cell
**Energy relative to the lowest polymorph listed for this composition**: 40 meV per atom
**ΔH_f (0 K)**: -0.111 eV/atom